# 1
Density functional theory data (PBE) for a relaxed structure of Li2CeThTe4.

Values from the calculation:
As for the formation energy from raw total energies: -1.1550 eV per atom. For the density of states at the Fermi level, the calculation gives 1.23 states/eV per atom. For the volume, the calculation gives 240.16 Å³ per cell. The space-group type is P2/m, No. 10.

Geometry as POSCAR:
```
Li2CeThTe4
1.0
7.606 0.000 0.000
0.000 4.388 0.000
-2.530 0.000 7.196
Li Ce Th Te
2 1 1 4
Direct
0.000 0.000 0.000 Li
0.000 0.500 0.500 Li
0.500 0.000 0.500 Ce
0.500 0.500 0.000 Th
0.233 0.000 0.747 Te
0.233 0.500 0.241 Te
0.767 0.000 0.253 Te
0.767 0.500 0.759 Te
```

# 2
Density functional theory data (PBE) for a relaxed structure of LiCe2ThTe5.

Values from the calculation:
As for the formation energy from raw total energies: -1.1091 eV per atom. For the density of states at the Fermi level, the calculation gives 1.42 states/eV per atom. For the volume, the calculation gives 654.14 Å³ per cell. The space-group type is Cmc2_1, No. 36.

Geometry as POSCAR:
```
LiCe2ThTe5
1.0
2.678 -8.056 0.000
2.678 8.056 0.000
0.000 0.000 15.161
Li Ce Th Te
2 4 2 10
Direct
0.184 0.816 0.500 Li
0.816 0.184 0.000 Li
0.476 0.524 0.766 Ce
0.486 0.514 0.508 Ce
0.514 0.486 0.008 Ce
0.524 0.476 0.266 Ce
0.194 0.806 0.777 Th
0.806 0.194 0.277 Th
0.014 0.986 0.882 Te
0.049 0.951 0.633 Te
0.324 0.676 0.630 Te
0.334 0.666 0.921 Te
0.339 0.661 0.361 Te
0.661 0.339 0.861 Te
0.666 0.334 0.421 Te
0.676 0.324 0.130 Te
0.951 0.049 0.133 Te
0.986 0.014 0.382 Te
```

# 3
Density functional theory data (PBE) for a relaxed structure of Li3CeTm2Te6.

Values from the calculation:
As for the formation energy from raw total energies: -1.2502 eV per atom. For the density of states at the Fermi level, the calculation gives 0.70 states/eV per atom. For the volume, the calculation gives 349.07 Å³ per cell. The space-group type is C2/m, No. 12.

Geometry as POSCAR:
```
Li3CeTm2Te6
1.0
3.780 -6.546 0.000
3.780 6.546 0.000
-2.523 0.000 7.054
Li Ce Tm Te
3 1 2 6
Direct
0.000 0.000 0.000 Li
0.334 0.666 0.000 Li
0.666 0.334 0.000 Li
0.500 0.500 0.500 Ce
0.167 0.833 0.500 Tm
0.833 0.167 0.500 Tm
0.070 0.415 0.245 Te
0.241 0.241 0.756 Te
0.415 0.070 0.245 Te
0.585 0.930 0.755 Te
0.759 0.759 0.244 Te
0.930 0.585 0.755 Te
```

> Among the records above, which one has the highest formation energy from raw total energies?

LiCe2ThTe5

> formation energy from raw total energies of number 1 (Li2CeThTe4)?

-1.1550 eV per atom

What did the third record say?
Density functional theory data (PBE) for a relaxed structure of Li3CeTm2Te6.

Values from the calculation:
As for the formation energy from raw total energies: -1.2502 eV per atom. For the density of states at the Fermi level, the calculation gives 0.70 states/eV per atom. For the volume, the calculation gives 349.07 Å³ per cell. The space-group type is C2/m, No. 12.

Geometry as POSCAR:
```
Li3CeTm2Te6
1.0
3.780 -6.546 0.000
3.780 6.546 0.000
-2.523 0.000 7.054
Li Ce Tm Te
3 1 2 6
Direct
0.000 0.000 0.000 Li
0.334 0.666 0.000 Li
0.666 0.334 0.000 Li
0.500 0.500 0.500 Ce
0.167 0.833 0.500 Tm
0.833 0.167 0.500 Tm
0.070 0.415 0.245 Te
0.241 0.241 0.756 Te
0.415 0.070 0.245 Te
0.585 0.930 0.755 Te
0.759 0.759 0.244 Te
0.930 0.585 0.755 Te
```

> Which value of formation energy from raw total energies does entry 2 give?

-1.1091 eV per atom